Record 1
YMn2Tc2: optimized geometry, PBE.

Values from the calculation:
Its total magnetic moment is 0.000 μB/f.u. Its relative energy among the computed polymorphs is 0 meV/atom. The calculation puts the formation energy at 0.09 eV/atom. As for the space-group type: I4/mmm (139).

Cell: 4.123 4.123 5.757 Å, 69.02 69.02 90.00°
Sites, in units of the cell vectors:
Y 0.000 0.000 0.000
Mn 0.750 0.250 0.500
Mn 0.250 0.750 0.500
Tc 0.370 0.370 0.261
Tc 0.630 0.630 0.739

=====

Record 2
Na4GeSe4: optimized geometry, PBE.

Values from the calculation:
Its total magnetic moment is 0.000 μB/f.u. Its relative energy among the computed polymorphs is 50 meV/atom. As for the space-group type: I-42m (121).

Cell: 7.613 7.613 7.613 Å, 80.18 125.82 125.82°
Sites, in units of the cell vectors:
Na 0.500 0.500 0.000
Na 0.500 0.000 0.500
Na 0.000 0.694 0.694
Na 0.000 0.306 0.306
Ge 0.000 0.000 0.000
Se 0.606 0.926 0.926
Se 0.000 0.074 0.680
Se 0.394 0.320 0.320
Se 0.000 0.680 0.074

=====

Record 3
ZrRh: optimized geometry, PBE.

Values from the calculation:
Its total magnetic moment is 0.000 μB/f.u. The calculation puts the formation energy at -0.62 eV/atom. As for the space-group type: C2/m (12).

Cell: 5.774 5.774 5.448 Å, 63.88 63.88 44.44°
Sites, in units of the cell vectors:
Zr 0.158 0.158 0.240
Zr 0.500 0.500 0.000
Zr 0.842 0.842 0.760
Rh 0.192 0.192 0.719
Rh 0.500 0.500 0.500
Rh 0.808 0.808 0.281

=====

Record 4
TbPmDyTm: optimized geometry, PBE.

Values from the calculation:
Its total magnetic moment is 0.000 μB/f.u. Its relative energy among the computed polymorphs is 68 meV/atom. The calculation puts the formation energy at 0.20 eV/atom. As for the space-group type: Pmm2 (25).

Cell: 3.434 6.707 5.623 Å, 90.01 90.00 90.00°
Sites, in units of the cell vectors:
Tb 0.500 0.689 0.016
Pm 0.000 0.942 0.516
Dy 0.000 0.194 0.016
Tm 0.000 0.455 0.517

=====

Record 5
YRu2Cl: optimized geometry, PBE.

Values from the calculation:
Its total magnetic moment is 0.000 μB/f.u. Its relative energy among the computed polymorphs is 758 meV/atom. As for the space-group type: P4/mmm (123).

Cell: 3.320 3.320 6.364 Å, 90.00 90.00 90.00°
Sites, in units of the cell vectors:
Cl 0.500 0.500 0.750
Ru 0.000 0.000 0.981
Ru 0.000 0.000 0.519
Y 0.500 0.500 0.250

=====

Record 6
TmCuSi2Pt5: optimized geometry, PBE.

Values from the calculation:
Its total magnetic moment is 0.000 μB/f.u. As for the space-group type: P4/mmm (123). Its total energy is -55.00 eV per cell.

Cell: 4.009 4.009 10.478 Å, 90.00 90.00 90.00°
Sites, in units of the cell vectors:
Tm 0.000 0.000 0.500
Cu 0.000 0.000 0.000
Si 0.500 0.500 0.276
Si 0.500 0.500 0.724
Pt 0.000 0.500 0.157
Pt 0.500 0.000 0.157
Pt 0.000 0.500 0.843
Pt 0.500 0.000 0.843
Pt 0.500 0.500 0.500